A plane-wave DFT calculation with GGA-PBE was carried out for an optimized crystal structure of Ca6Bi2AsN.

a b c (Å): 5.294 5.294 10.317
angles (deg): 90.00 90.00 90.00
Atoms (fractional coordinates):
Ca: 0.000 0.000 0.223
Ca: 0.000 0.000 0.777
Ca: 0.000 0.500 0.000
Ca: 0.000 0.500 0.500
Ca: 0.500 0.000 0.000
Ca: 0.500 0.000 0.500
Bi: 0.500 0.500 0.241
Bi: 0.500 0.500 0.759
As: 0.000 0.000 0.500
N: 0.000 0.000 0.000

The formation energy (no corrections) comes out at -921 meV per atom. The value obtained for the total magnetic moment is 0.00 μB per cell. Its crystal system is tetragonal. The theoretical density comes out at 4.29 g/cm³. The calculation puts the total DFT energy (no corrections) at -4.20 eV per atom. Its space-group type is P4/mmm (123).